CaInSe2 after structural relaxation. Source: Alexandria via LeMat-Bulk, functional PBE.

Cell and atoms, written as extended XYZ:
```
4
Lattice="5.0655 0.0000 0.0000 -2.5327 4.3868 0.0000 0.0000 0.0000 5.8270" Properties=species:S:1:pos:R:3 pbc="T T T"
Ca 0.0000 0.0000 0.0000
In 0.0000 2.9246 2.9135
Se 0.0000 0.0000 2.9135
Se 0.0000 2.9246 0.0000
```

Output
Its energy relative to the elements, uncorrected is -1118 meV per atom. As for the uncorrected energy: -0.297 Ry per atom. The symmetry is P-6m2, No. 187.

---

Ac3In2Pd9 after structural relaxation. Source: Alexandria via LeMat-Bulk, functional PBE.

Cell and atoms, written as extended XYZ:
```
14
Lattice="-2.1754 5.0724 6.8703 2.1754 -5.0724 6.8703 2.1754 5.0724 -6.8703" Properties=species:S:1:pos:R:3 pbc="T T T"
Ac 0.0000 0.0000 0.0000
Ac 0.0000 0.0000 4.1027
Ac 0.0000 0.0000 9.6379
In 2.1754 2.9689 0.0000
In 0.0000 2.1036 6.8703
Pd 2.1754 -1.3674 2.3180
Pd 2.1754 -2.1597 5.1307
Pd 2.1754 1.3674 2.3180
Pd 0.0000 2.9128 1.7396
Pd 0.0000 5.0724 0.0000
Pd 2.1754 2.1597 5.1307
Pd 0.0000 3.7051 4.5524
Pd 0.0000 7.2321 1.7396
Pd 0.0000 6.4398 4.5524
```

Output
The value obtained for the energy of formation from the pure elements is -0.6672 eV/atom. As for the uncorrected energy: -0.388 Ry per atom. The symmetry is Immm, No. 71.